RbTc2NiO: relaxed, PBE+U.

Properties
Total DFT energy (no corrections): -23.364 eV per cell
V: 89.0 Å³ per cell

abc: 3.983 3.983 5.611
angles: 90.00 90.00 90.00
Fractional coordinates of all 5 atoms:
1 Rb 0.000 0.000 0.000
2 Tc 0.000 0.500 0.500
3 Tc 0.500 0.000 0.500
4 Ni 0.500 0.500 0.000
5 O 0.500 0.500 0.500


Rb2NiTeO6: relaxed, PBE+U.

Properties
Total DFT energy (no corrections): -48.425 eV per cell
V: 172.9 Å³ per cell

abc: 6.240 6.240 5.127
angles: 90.00 90.00 120.00
Fractional coordinates of all 10 atoms:
1 Rb 0.333 0.667 0.180
2 Rb 0.667 0.333 0.820
3 Ni 0.000 0.000 0.000
4 Te 0.000 0.000 0.500
5 O 0.135 0.270 0.757
6 O 0.135 0.865 0.757
7 O 0.270 0.135 0.243
8 O 0.730 0.865 0.757
9 O 0.865 0.135 0.243
10 O 0.865 0.730 0.243


Rb2NiTe2O6: relaxed, PBE+U.

Properties
Total DFT energy (no corrections): -53.513 eV per cell
V: 242.9 Å³ per cell

abc: 7.236 7.236 8.442
angles: 125.58 125.58 45.04
Fractional coordinates of all 11 atoms:
1 Rb 0.210 0.210 0.289
2 Rb 0.790 0.790 0.711
3 Ni 0.000 0.000 0.500
4 Te 0.427 0.427 0.162
5 Te 0.573 0.573 0.838
6 O 0.141 0.661 0.278
7 O 0.339 0.859 0.722
8 O 0.396 0.396 0.705
9 O 0.604 0.604 0.295
10 O 0.661 0.141 0.278
11 O 0.859 0.339 0.722


RbNiTeO4: relaxed, PBE+U.

Properties
Total DFT energy (no corrections): -67.803 eV per cell
V: 233.1 Å³ per cell

abc: 4.166 6.689 8.624
angles: 90.00 104.11 90.00
Fractional coordinates of all 14 atoms:
1 Rb 0.052 0.250 0.107
2 Rb 0.948 0.750 0.893
3 Ni 0.289 0.750 0.576
4 Ni 0.711 0.250 0.424
5 Te 0.350 0.250 0.700
6 Te 0.650 0.750 0.300
7 O 0.166 0.750 0.333
8 O 0.236 0.250 0.472
9 O 0.375 0.539 0.747
10 O 0.375 0.961 0.747
11 O 0.625 0.039 0.253
12 O 0.625 0.461 0.253
13 O 0.764 0.750 0.528
14 O 0.834 0.250 0.667


Rb2UNiO6: relaxed, PBE+U.

Properties
Total DFT energy (no corrections): -64.243 eV per cell
V: 145.3 Å³ per cell

abc: 5.901 5.901 5.901
angles: 60.00 60.00 60.00
Fractional coordinates of all 10 atoms:
1 Rb 0.250 0.250 0.250
2 Rb 0.750 0.750 0.750
3 U 0.000 0.000 0.000
4 Ni 0.500 0.500 0.500
5 O 0.247 0.247 0.753
6 O 0.247 0.753 0.247
7 O 0.247 0.753 0.753
8 O 0.753 0.247 0.247
9 O 0.753 0.247 0.753
10 O 0.753 0.753 0.247


Rb2U3NiO12: relaxed, PBE+U.

Properties
Total DFT energy (no corrections): -142.044 eV per cell
V: 310.1 Å³ per cell

abc: 7.374 7.374 7.374
angles: 64.26 64.26 64.26
Fractional coordinates of all 18 atoms:
1 Rb 0.132 0.132 0.132
2 Rb 0.868 0.868 0.868
3 U 0.000 0.500 0.500
4 U 0.500 0.000 0.500
5 U 0.500 0.500 0.000
6 Ni 0.500 0.500 0.500
7 O 0.172 0.172 0.555
8 O 0.172 0.555 0.172
9 O 0.211 0.554 0.554
10 O 0.445 0.828 0.828
11 O 0.446 0.446 0.789
12 O 0.446 0.789 0.446
13 O 0.554 0.211 0.554
14 O 0.554 0.554 0.211
15 O 0.555 0.172 0.172
16 O 0.789 0.446 0.446
17 O 0.828 0.445 0.828
18 O 0.828 0.828 0.445


RbU2NiO8: relaxed, PBE+U.

Properties
Total DFT energy (no corrections): -93.122 eV per cell
V: 188.2 Å³ per cell

abc: 5.171 5.171 7.080
angles: 90.09 90.09 83.82
Fractional coordinates of all 12 atoms:
1 Rb 0.000 0.000 0.000
2 U 0.500 0.500 0.255
3 U 0.500 0.500 0.745
4 Ni 0.000 0.000 0.500
5 O 0.220 0.778 0.302
6 O 0.222 0.780 0.698
7 O 0.321 0.321 0.499
8 O 0.343 0.343 0.999
9 O 0.657 0.657 0.001
10 O 0.679 0.679 0.501
11 O 0.778 0.220 0.302
12 O 0.780 0.222 0.698


RbVNi2O: relaxed, PBE+U.

Properties
Total DFT energy (no corrections): -5.787 eV per cell
V: 95.4 Å³ per cell

abc: 4.531 4.531 4.648
angles: 90.00 90.00 90.00
Fractional coordinates of all 5 atoms:
1 Rb 0.000 0.000 0.000
2 V 0.500 0.500 0.500
3 Ni 0.000 0.500 0.000
4 Ni 0.500 0.000 0.000
5 O 0.000 0.000 0.500


RbV4Ni3O12: relaxed, PBE+U.

Properties
Total DFT energy (no corrections): -127.369 eV per cell
V: 249.3 Å³ per cell

abc: 6.939 6.939 6.939
angles: 110.27 110.27 110.27
Fractional coordinates of all 20 atoms:
1 Rb 0.000 0.000 0.000
2 V 0.066 0.500 0.934
3 V 0.500 0.500 0.500
4 V 0.500 0.934 0.066
5 V 0.934 0.066 0.500
6 Ni 0.000 0.567 0.433
7 Ni 0.433 0.000 0.567
8 Ni 0.567 0.433 0.000
9 O 0.088 0.912 0.500
10 O 0.122 0.661 0.781
11 O 0.219 0.339 0.878
12 O 0.339 0.878 0.219
13 O 0.347 0.653 0.500
14 O 0.500 0.088 0.912
15 O 0.500 0.347 0.653
16 O 0.653 0.500 0.347
17 O 0.661 0.781 0.122
18 O 0.781 0.122 0.661
19 O 0.878 0.219 0.339
20 O 0.912 0.500 0.088


Rb2NiW3O12: relaxed, PBE+U.

Properties
Total DFT energy (no corrections): -117.141 eV per cell
V: 267.1 Å³ per cell

abc: 7.125 7.125 7.125
angles: 61.99 61.99 61.99
Fractional coordinates of all 18 atoms:
1 Rb 0.133 0.133 0.133
2 Rb 0.867 0.867 0.867
3 Ni 0.500 0.500 0.500
4 W 0.000 0.500 0.500
5 W 0.500 0.000 0.500
6 W 0.500 0.500 0.000
7 O 0.182 0.182 0.556
8 O 0.182 0.556 0.182
9 O 0.196 0.560 0.560
10 O 0.440 0.440 0.804
11 O 0.440 0.804 0.440
12 O 0.444 0.818 0.818
13 O 0.556 0.182 0.182
14 O 0.560 0.196 0.560
15 O 0.560 0.560 0.196
16 O 0.804 0.440 0.440
17 O 0.818 0.444 0.818
18 O 0.818 0.818 0.444


Re2NiO: relaxed, PBE+U.

Properties
Total DFT energy (no corrections): -57.018 eV per cell
V: 113.3 Å³ per cell

abc: 7.457 7.457 7.457
angles: 148.43 148.43 45.25
Fractional coordinates of all 8 atoms:
1 Re 0.050 0.625 0.925
2 Re 0.375 0.300 0.425
3 Re 0.700 0.125 0.075
4 Re 0.875 0.950 0.575
5 Ni 0.250 0.750 0.500
6 Ni 0.500 0.500 0.000
7 O 0.000 0.000 0.000
8 O 0.750 0.250 0.500


ReNi2O: relaxed, PBE+U.

Properties
Total DFT energy (no corrections): -37.549 eV per cell
V: 86.7 Å³ per cell

abc: 4.991 4.991 4.991
angles: 100.45 100.45 129.59
Fractional coordinates of all 8 atoms:
1 Re 0.000 0.000 0.000
2 Re 0.750 0.250 0.500
3 Ni 0.190 0.625 0.065
4 Ni 0.375 0.440 0.565
5 Ni 0.560 0.125 0.935
6 Ni 0.875 0.810 0.435
7 O 0.250 0.750 0.500
8 O 0.500 0.500 0.000


Re2NiO6: relaxed, PBE+U.

Properties
Total DFT energy (no corrections): -139.094 eV per cell
V: 192.8 Å³ per cell

abc: 4.765 4.765 8.489
angles: 90.00 90.00 90.00
Fractional coordinates of all 18 atoms:
1 Re 0.000 0.000 0.153
2 Re 0.000 0.000 0.847
3 Re 0.500 0.500 0.347
4 Re 0.500 0.500 0.653
5 Ni 0.000 0.000 0.500
6 Ni 0.500 0.500 0.000
7 O 0.211 0.211 0.324
8 O 0.211 0.211 0.676
9 O 0.218 0.218 0.000
10 O 0.282 0.718 0.500
11 O 0.289 0.711 0.176
12 O 0.289 0.711 0.824
13 O 0.711 0.289 0.176
14 O 0.711 0.289 0.824
15 O 0.718 0.282 0.500
16 O 0.782 0.782 0.000
17 O 0.789 0.789 0.324
18 O 0.789 0.789 0.676


ReNi3O: relaxed, PBE+U.

Properties
Relative energy among the computed polymorphs: 1.839 eV/atom
Total DFT energy (no corrections): -11.958 eV per cell
V: 86.7 Å³ per cell

abc: 4.426 4.426 4.426
angles: 90.00 90.00 90.00
Fractional coordinates of all 5 atoms:
1 Re 0.000 0.000 0.000
2 Ni 0.000 0.000 0.500
3 Ni 0.000 0.500 0.000
4 Ni 0.500 0.000 0.000
5 O 0.500 0.500 0.500


ReNiO3: relaxed, PBE+U.

Properties
Total DFT energy (no corrections): -32.194 eV per cell
V: 56.3 Å³ per cell

abc: 3.832 3.832 3.832
angles: 90.00 90.00 90.00
Fractional coordinates of all 5 atoms:
1 Re 0.000 0.000 0.000
2 Ni 0.500 0.500 0.500
3 O 0.000 0.000 0.500
4 O 0.000 0.500 0.000
5 O 0.500 0.000 0.000


ReNiO3: relaxed, PBE+U.

Properties
Total DFT energy (no corrections): -28.258 eV per cell
V: 50.8 Å³ per cell

abc: 3.705 3.705 3.705
angles: 90.00 90.00 90.00
Fractional coordinates of all 5 atoms:
1 Re 0.000 0.000 0.000
2 Ni 0.500 0.500 0.500
3 O 0.000 0.500 0.500
4 O 0.500 0.000 0.500
5 O 0.500 0.500 0.000


ReNi3O: relaxed, PBE+U.

Properties
Relative energy among the computed polymorphs: 0.000 eV/atom
Total DFT energy (no corrections): -21.154 eV per cell
V: 58.3 Å³ per cell

abc: 3.877 3.877 3.877
angles: 90.00 90.00 90.00
Fractional coordinates of all 5 atoms:
1 Re 0.000 0.000 0.000
2 Ni 0.000 0.500 0.500
3 Ni 0.500 0.000 0.500
4 Ni 0.500 0.500 0.000
5 O 0.500 0.500 0.500


Re3NiO: relaxed, PBE+U.

Properties
Relative energy among the computed polymorphs: 0.000 eV/atom
Total DFT energy (no corrections): -40.906 eV per cell
V: 65.0 Å³ per cell

abc: 4.021 4.021 4.021
angles: 90.00 90.00 90.00
Fractional coordinates of all 5 atoms:
1 Re 0.000 0.000 0.500
2 Re 0.000 0.500 0.000
3 Re 0.500 0.000 0.000
4 Ni 0.500 0.500 0.500
5 O 0.000 0.000 0.000


Re2NiWO: relaxed, PBE+U.

Properties
Total DFT energy (no corrections): -24.370 eV per cell
V: 105.5 Å³ per cell

abc: 4.786 4.786 4.605
angles: 90.00 90.00 90.00
Fractional coordinates of all 5 atoms:
1 Re 0.000 0.500 0.000
2 Re 0.500 0.000 0.000
3 Ni 0.000 0.000 0.500
4 W 0.000 0.000 0.000
5 O 0.500 0.500 0.500


NiRh2O2: relaxed, PBE+U.

Properties
Relative energy among the computed polymorphs: 0.000 eV/atom
Total DFT energy (no corrections): -25.804 eV per cell
V: 59.6 Å³ per cell

abc: 5.732 5.732 5.732
angles: 145.69 145.69 49.31
Fractional coordinates of all 5 atoms:
1 Ni 0.000 0.000 0.000
2 Rh 0.374 0.374 0.000
3 Rh 0.626 0.626 0.000
4 O 0.250 0.750 0.500
5 O 0.750 0.250 0.500


Ni2RhO: relaxed, PBE+U.

Properties
Total DFT energy (no corrections): -29.789 eV per cell
V: 112.3 Å³ per cell

abc: 6.314 6.314 6.314
angles: 137.81 137.81 61.19
Fractional coordinates of all 8 atoms:
1 Ni 0.375 0.197 0.322
2 Ni 0.803 0.125 0.178
3 Ni 0.875 0.053 0.678
4 Ni 0.947 0.625 0.822
5 Rh 0.250 0.750 0.500
6 Rh 0.500 0.500 0.000
7 O 0.000 0.000 0.000
8 O 0.750 0.250 0.500


Ni2RhO4: relaxed, PBE+U.

Properties
Total DFT energy (no corrections): -38.129 eV per cell
V: 77.5 Å³ per cell

abc: 5.243 5.243 3.025
angles: 90.00 90.00 111.33
Fractional coordinates of all 7 atoms:
1 Ni 0.000 0.500 0.000
2 Ni 0.500 0.000 0.000
3 Rh 0.000 0.000 0.500
4 O 0.224 0.224 0.000
5 O 0.235 0.765 0.500
6 O 0.765 0.235 0.500
7 O 0.776 0.776 0.000


NiRh2O: relaxed, PBE+U.

Properties
Total DFT energy (no corrections): -39.230 eV per cell
V: 100.7 Å³ per cell

abc: 5.102 5.102 5.102
angles: 105.58 105.58 117.58
Fractional coordinates of all 8 atoms:
1 Ni 0.000 0.000 0.000
2 Ni 0.750 0.250 0.500
3 Rh 0.189 0.625 0.064
4 Rh 0.375 0.439 0.564
5 Rh 0.561 0.125 0.936
6 Rh 0.875 0.811 0.436
7 O 0.250 0.750 0.500
8 O 0.500 0.500 0.000